Entry 1:
## Rb2Ba4Cu (PBE)

Data for Rb2Ba4Cu after structural relaxation.

Cell lengths 6.4511, 6.4511, 23.4277 Å; angles 90.00, 90.00, 90.00 degrees
With the nearest neighbours (Å) after each atom.
Space group I4/mmm (No. 139)
Asymmetric unit:
Rb 0.0000 0.0000 0.1639 x4  9 Ba 4.61-5.02
Ba 0.0000 0.0000 0.3651 x4  1 Cu 3.16
Ba 0.0000 0.5000 0.0000 x4  2 Cu 3.23
Cu 0.0000 0.0000 0.5000 x2  6 Ba 3.16-3.23

Output
energy = -25.60 eV/cell
size of the total moment = 0.00 μB per cell
density = 2.7 g cm⁻³
energy of formation = 132 meV per atom
crystal system = tetragonal

=====

Entry 2:
## RbBa2Cu2 (PBE)

Data for RbBa2Cu2 after structural relaxation.

Cell lengths 9.6802, 9.6802, 3.8986 Å; angles 90.00, 90.00, 90.00 degrees
With the nearest neighbours (Å) after each atom.
Space group P4/mbm (No. 127)
Asymmetric unit:
Rb 0.0000 0.0000 0.0000 x2  4 Ba 3.74, 2 Rb 3.90, 8 Cu 4.18
Ba 0.1394 0.3606 0.0000 x4  6 Cu 3.41-3.49, 2 Rb 3.74
Cu 0.1488 0.6488 0.5000 x4  6 Ba 3.41-3.49

Output
energy = -23.66 eV/cell
offset from the most stable computed form = 118 meV/atom
size of the total moment = 0.00 μB per cell
density = 4.4 g cm⁻³
energy of formation = 235 meV per atom
crystal system = tetragonal

=====

Entry 3:
## Rb2BaCuRu (PBE)

Data for Rb2BaCuRu after structural relaxation.

Cell lengths 7.3831, 7.3831, 5.4600 Å; angles 90.00, 90.00, 90.00 degrees
With the nearest neighbours (Å) after each atom.
Space group P4/mmm (No. 123)
Asymmetric unit:
Rb 0.0000 0.5000 0.0000 x2  2 Ba 3.69
Ba 0.0000 0.0000 0.0000 x1  2 Cu 2.73
Cu 0.0000 0.0000 0.5000 x1  2 Ba 2.73
Ru 0.5000 0.5000 0.5000 x1  8 Rb 4.59

Output
energy = -9.00 eV/cell
size of the total moment = 1.27 μB per cell
density = 2.6 g cm⁻³
energy of formation = 1645 meV per atom
crystal system = tetragonal

=====

Entry 4:
## RbBaCuS2 (PBE)

Data for RbBaCuS2 after structural relaxation.

Cell lengths 9.0469, 15.8455, 5.1303 Å; angles 90.00, 90.00, 90.00 degrees
With the nearest neighbours (Å) after each atom.
Space group Cmme (No. 67)
Asymmetric unit:
Rb 0.0000 0.2500 0.2427 x4  4 S 3.34-3.45
Ba 0.2500 0.0000 0.5000 x4  4 S 3.14, 4 Cu 3.42
Cu 0.0000 0.0000 0.0000 x4  2 S 2.14
S 0.0000 0.1095 0.7568 x8  1 Cu 2.14

Output
raw formation energy = -1.1507 eV per atom
energy = -83.98 eV/cell
size of the total moment = 0.00 μB per cell
density = 3.2 g cm⁻³
crystal system = orthorhombic

=====

Entry 5:
## RbBaCuSe2 (PBE)

Data for RbBaCuSe2 after structural relaxation.

Cell lengths 9.2212, 16.6041, 5.2669 Å; angles 90.00, 90.00, 90.00 degrees
With the nearest neighbours (Å) after each atom.
Space group Cmme (No. 67)
Asymmetric unit:
Rb 0.0000 0.2500 0.2491 x4  4 Se 3.45-3.52
Ba 0.2500 0.0000 0.5000 x4  4 Se 3.27, 4 Cu 3.50
Cu 0.0000 0.0000 0.0000 x4  2 Se 2.26
Se 0.0000 0.1127 0.7585 x8  1 Cu 2.26

Output
raw formation energy = -1.1132 eV per atom
energy = -78.09 eV/cell
size of the total moment = 0.00 μB per cell
density = 3.7 g cm⁻³
crystal system = orthorhombic

=====

Entry 6:
## RbBa2SrCu (PBE)

Data for RbBa2SrCu after structural relaxation.

Cell lengths 6.5539, 6.5539, 6.3370 Å; angles 90.00, 90.00, 90.00 degrees
With the nearest neighbours (Å) after each atom.
Space group P4/mmm (No. 123)
Asymmetric unit:
Rb 0.0000 0.0000 0.0000 x1  8 Ba 4.56, 4 Sr 4.63
Ba 0.0000 0.5000 0.5000 x2  2 Cu 3.28
Sr 0.5000 0.5000 0.0000 x1  2 Cu 3.17
Cu 0.5000 0.5000 0.5000 x1  2 Sr 3.17, 4 Ba 3.28

Output
energy = -10.34 eV/cell
offset from the most stable computed form = 0 meV/atom
size of the total moment = 0.00 μB per cell
density = 3.1 g cm⁻³
energy of formation = 51 meV per atom
crystal system = tetragonal

=====

Entry 7:
## RbBa2SrCu (PBE)

Data for RbBa2SrCu after structural relaxation.

Cell lengths 6.4409, 6.4409, 6.7662 Å; angles 90.00, 90.00, 90.00 degrees
With the nearest neighbours (Å) after each atom.
Space group P4/mmm (No. 123)
Asymmetric unit:
Rb 0.0000 0.0000 0.0000 x1  2 Cu 3.38
Ba 0.0000 0.5000 0.5000 x2  2 Cu 3.22
Sr 0.5000 0.5000 0.0000 x1  4 Rb 4.55, 8 Ba 4.67
Cu 0.0000 0.0000 0.5000 x1  4 Ba 3.22, 2 Rb 3.38

Output
energy = -9.83 eV/cell
offset from the most stable computed form = 101 meV/atom
size of the total moment = 0.00 μB per cell
density = 3.0 g cm⁻³
energy of formation = 152 meV per atom
crystal system = tetragonal

=====

Entry 8:
## BaCuRe2 (PBE)

Data for BaCuRe2 after structural relaxation.

Cell lengths 2.8674, 2.8674, 9.1529 Å; angles 90.00, 90.00, 90.00 degrees
With the nearest neighbours (Å) after each atom.
Space group P4/mmm (No. 123)
Asymmetric unit:
Ba 0.0000 0.0000 0.0000 x1  4 Ba 2.87
Cu 0.0000 0.0000 0.5000 x1  8 Re 2.64, 4 Cu 2.87
Re 0.5000 0.5000 0.3155 x2  4 Cu 2.64, 4 Re 2.87

Output
energy = -26.26 eV/cell
offset from the most stable computed form = 721 meV/atom
size of the total moment = 0.00 μB per cell
density = 12.6 g cm⁻³
energy of formation = 1163 meV per atom
crystal system = tetragonal